Sc3TaTc PBE relaxed; calculated formation energy = 1.271 eV/atom; density = 5.5 g/cm3; excess energy over the best structure of this formula in the dataset = 587 meV per atom; total energy = -34.86 eV per formula unit
1.0
-4.8653 -0.6011 1.0374
1.1265 -3.7765 3.0948
0.4106 3.2381 3.8019
Sc Tc Ta
3 1 1
Cartesian
0.5632 -1.8882 1.5474
0.2053 1.6191 1.9010
-2.4326 -0.3006 0.5187
-1.6641 -0.5698 3.9671
0.0000 0.0000 0.0000



ScTaTc2 PBE relaxed; calculated formation energy = -0.102 eV/atom; density = 10.6 g/cm3; excess energy over the best structure of this formula in the dataset = 223 meV per atom; total energy = -39.33 eV per formula unit
1.0
-2.9923 -4.5124 0.4013
3.3842 0.4636 -3.9334
2.1003 -1.7377 0.8130
Sc Ta Tc
1 1 2
Cartesian
2.7423 -0.6371 -1.5602
0.1960 -2.0244 -1.7660
0.0000 0.0000 0.0000
-0.4460 -3.1251 0.6072



ScTa2Tc PBE relaxed; calculated formation energy = 0.140 eV/atom; density = 11.4 g/cm3; excess energy over the best structure of this formula in the dataset = 292 meV per atom; total energy = -39.84 eV per formula unit
1.0
9.4556 0.0231 0.0136
8.9636 3.0102 0.0136
8.9636 1.4762 2.6235
Sc Ta Tc
1 2 1
Cartesian
20.5371 3.3821 1.9880
27.1549 4.4719 2.6286
13.9193 2.2923 1.3474
6.8457 1.1274 0.6627



ScTa2Tc PBE relaxed; calculated formation energy = 0.175 eV/atom; density = 11.6 g/cm3; excess energy over the best structure of this formula in the dataset = 327 meV per atom; total energy = -39.70 eV per formula unit
1.0
-1.0698 2.5782 -1.1441
-2.5238 -2.3021 -2.8280
-4.0015 -0.0556 3.6164
Sc Ta Tc
1 2 1
Cartesian
-4.7979 0.0964 0.7263
-0.0385 -0.0005 0.0348
-1.9622 -0.0273 1.7733
-2.7972 0.1242 -1.0819



Look up the density of the third one.
11.4 g/cm3



The lowest excess energy over the best structure of this formula in the dataset belongs to which entry?
ScTaTc2



density of number 3 (ScTa2Tc)?
11.4 g/cm3



Among the records above, which one has the highest calculated formation energy?
Sc3TaTc